An optimized crystal structure of In3Hg7Te. Source: the Alexandria database, functional PBE.

```
In3Hg7Te
1.0
6.164 0.000 0.000
0.000 6.769 -3.908
0.000 0.000 7.816
Hg In Te
7 3 1
direct
0.477 0.270 0.135 Hg
0.062 0.144 0.287 Hg
0.192 0.667 0.333 Hg
0.477 0.865 0.135 Hg
0.062 0.144 0.856 Hg
0.062 0.713 0.856 Hg
0.477 0.865 0.730 Hg
0.778 0.511 0.022 In
0.778 0.511 0.489 In
0.778 0.978 0.489 In
0.472 0.333 0.667 Te
```

Energy, eV per atom: -1.2506
Formation energy (no corrections), eV/atom: -0.0261
M_tot, μB/f.u.: 0.00